Entry 1:
DFT (PBE-GGA) results for a relaxed structure of RbNaAu3.

a = 6.294 Å, b = 6.294 Å, c = 6.294 Å
α = 134.08°, β = 127.93°, γ = 71.92°
Sites, in units of the cell vectors:
Rb 0.803 0.803 0.000
Au 0.250 0.504 0.746
Au 0.758 0.504 0.254
Au 0.517 0.017 0.500
Na 0.172 0.172 0.000

Properties
E_tot ... -2.70 eV per atom
Calculated volume ... 27.6 Å³ per atom

Entry 2:
DFT (PBE-GGA) results for a relaxed structure of NdSi.

a = 4.285 Å, b = 4.285 Å, c = 3.368 Å
α = 90.00°, β = 90.00°, γ = 120.00°
Sites, in units of the cell vectors:
Nd 0.667 0.333 0.750
Si 0.333 0.667 0.250

Properties
E_tot ... -5.28 eV per atom
Calculated volume ... 26.8 Å³ per atom

Entry 3:
DFT (PBE-GGA) results for a relaxed structure of Dy2ErTm2Lu2Ni2Se2.

a = 8.957 Å, b = 8.957 Å, c = 8.957 Å
α = 155.72°, β = 67.49°, γ = 118.12°
Sites, in units of the cell vectors:
Lu 0.060 0.376 0.684
Lu 0.692 0.376 0.316
Tm 0.708 0.582 0.126
Tm 0.456 0.582 0.874
Se 0.735 0.235 0.500
Se 0.336 0.336 0.000
Er 0.992 0.992 0.000
Dy 0.376 0.735 0.641
Dy 0.094 0.735 0.359
Ni 0.308 0.069 0.240
Ni 0.829 0.069 0.760

Properties
E_tot ... -5.36 eV per atom
Calculated volume ... 23.5 Å³ per atom